HoZrMnAl | PBE | optimized geometry

abc: 4.775 4.775 4.775
angles: 60.00 60.00 60.00
Positions (direct):
Ho (0.000, 0.000, 0.000)
Zr (0.500, 0.500, 0.500)
Mn (0.750, 0.750, 0.750)
Al (0.250, 0.250, 0.250)

Output
Crystal system: cubic
DFT total energy: -6.546 eV/atom
V: 77.0 Å³/cell